This record from the Alexandria database describes an optimized crystal structure of Sr2CuF6. The functional is GGA-PBE.

```
Sr2CuF6
1.0
4.217 0.000 -1.077
-0.275 4.208 -1.077
0.051 0.055 8.992
Sr Cu F
2 1 6
Direct
0.172 0.172 0.344 Sr
0.828 0.828 0.656 Sr
0.500 0.500 0.000 Cu
0.798 0.365 0.163 F
0.635 0.635 0.837 F
0.365 0.798 0.163 F
0.202 0.202 0.837 F
0.750 0.250 0.500 F
0.250 0.750 0.500 F
```

Values from the calculation:
Formation energy from raw total energies = -2977 meV/atom
D(E_F) = 6.85 states/eV/f.u.
Magnetic moment = 1.0 μB/f.u.
Mass density = 3.66 g/cm³
Energy above the most stable polymorph in this dataset = 0.181 eV/atom

=====

This record from the Alexandria database describes an optimized crystal structure of Hf2Co2Se. The functional is GGA-PBE.

```
Hf2Co2Se
1.0
-1.860 -6.683 0.048
6.657 -1.857 -0.607
0.286 -0.056 3.315
Co Hf Se
4 4 2
Direct
0.373 0.873 0.000 Co
0.873 0.627 0.000 Co
0.627 0.127 0.000 Co
0.127 0.373 0.000 Co
0.167 0.667 0.500 Hf
0.667 0.833 0.500 Hf
0.833 0.333 0.500 Hf
0.333 0.167 0.500 Hf
0.000 0.000 0.000 Se
0.500 0.500 0.000 Se
```

Values from the calculation:
Formation energy from raw total energies = -401 meV/atom
D(E_F) = 2.83 states/eV/f.u.
Magnetic moment = 0.0 μB/f.u.
Mass density = 11.49 g/cm³
Energy above the most stable polymorph in this dataset = 0.000 eV/atom

=====

This record from the Alexandria database describes an optimized crystal structure of Y2SiO. The functional is GGA-PBE.

```
Y2SiO
1.0
0.000 3.385 3.385
3.385 0.000 3.385
3.385 3.385 0.000
Y Si O
2 1 1
Direct
0.250 0.250 0.250 Y
0.750 0.750 0.750 Y
0.500 0.500 0.500 Si
0.000 0.000 0.000 O
```

Values from the calculation:
Formation energy from raw total energies = -985 meV/atom
D(E_F) = 0.14 states/eV/f.u.
Magnetic moment = 0.0 μB/f.u.
Mass density = 4.75 g/cm³
Energy above the most stable polymorph in this dataset = 0.692 eV/atom

=====

This record from the Alexandria database describes an optimized crystal structure of ErInRuO6. The functional is GGA-PBE.

```
ErInRuO6
1.0
4.911 0.000 0.000
0.000 4.911 0.000
0.000 0.000 9.784
Er In Ru O
2 2 2 12
Direct
0.500 0.500 0.165 Er
0.000 0.000 0.665 Er
0.500 0.500 0.500 In
0.000 0.000 0.000 In
0.500 0.500 0.835 Ru
0.000 0.000 0.335 Ru
0.190 0.810 0.481 O
0.810 0.190 0.481 O
0.310 0.310 0.981 O
0.690 0.690 0.981 O
0.184 0.816 0.184 O
0.816 0.184 0.184 O
0.316 0.316 0.684 O
0.684 0.684 0.684 O
0.779 0.221 0.835 O
0.221 0.779 0.835 O
0.721 0.721 0.335 O
0.279 0.279 0.335 O
```

Values from the calculation:
Formation energy from raw total energies = -1705 meV/atom
D(E_F) = 2.93 states/eV/f.u.
Magnetic moment = 2.0 μB/f.u.
Mass density = 6.74 g/cm³

=====

This record from the Alexandria database describes an optimized crystal structure of SiOsN2O. The functional is GGA-PBE.

```
SiOsN2O
1.0
3.840 0.000 0.000
0.000 3.840 0.000
0.000 0.000 3.994
Si Os O N
1 1 1 2
Direct
0.500 0.500 0.500 Si
0.000 0.000 0.000 Os
0.000 0.000 0.500 O
0.000 0.500 0.000 N
0.500 0.000 0.000 N
```

Values from the calculation:
Formation energy from raw total energies = 646 meV/atom
D(E_F) = 2.07 states/eV/f.u.
Magnetic moment = 0.0 μB/f.u.
Mass density = 7.40 g/cm³

=====

This record from the Alexandria database describes an optimized crystal structure of BaAl2Si. The functional is GGA-PBE.

```
BaAl2Si
1.0
5.142 0.011 0.000
-0.010 5.143 0.000
-2.566 -2.577 3.636
Si Ba Al
1 1 2
Direct
0.750 0.250 0.500 Si
0.500 0.500 0.000 Ba
0.000 0.000 0.000 Al
0.250 0.750 0.500 Al
```

Values from the calculation:
Formation energy from raw total energies = 235 meV/atom
D(E_F) = 1.43 states/eV/f.u.
Magnetic moment = 0.0 μB/f.u.
Mass density = 3.79 g/cm³